No. 1
DFT (PBE) results for an optimized crystal structure of RbScRh2Br.

As for the uncorrected formation energy: 549 meV/atom. The calculation puts the density of states at the Fermi level at 7.14 states/eV per cell. The value obtained for the calculated volume is 24.11 Å³/atom. The symmetry is P4/mmm. As for the total energy: -4.19 eV/atom.

Unit cell a=4.930 b=4.959 c=4.930 alpha=90.00 beta=90.00 gamma=90.00
Positions (direct):
Rh: 0.000 0.000 0.500
Rh: 0.500 0.000 0.000
Sc: 0.000 0.500 0.000
Br: 0.000 0.000 0.000
Rb: 0.500 0.500 0.500

No. 2
DFT (PBE) results for an optimized crystal structure of BeInSn2F.

As for the uncorrected formation energy: 223 meV/atom. The calculation puts the density of states at the Fermi level at 2.42 states/eV per cell. The value obtained for the calculated volume is 27.22 Å³/atom. The symmetry is P4/mmm. As for the total energy: -3.05 eV/atom.

Unit cell a=5.682 b=4.215 c=5.682 alpha=90.00 beta=90.00 gamma=90.00
Positions (direct):
Sn: 0.000 0.000 0.500
Sn: 0.500 0.000 0.000
F: 0.000 0.500 0.000
Be: 0.500 0.500 0.500
In: 0.000 0.000 0.000

No. 3
DFT (PBE) results for an optimized crystal structure of PmErRu2.

The energy of formation from the pure elements comes out at -0.240 eV per atom. The calculation puts the density of states at the Fermi level at 3.80 states/eV per cell. The value obtained for the calculated volume is 20.14 Å³/atom. The symmetry is Fm-3m. As for the total energy: -7.21 eV/atom. The energy above the most stable polymorph in this dataset comes out at 5 meV/atom.

Unit cell a=4.848 b=4.848 c=4.848 alpha=60.00 beta=60.00 gamma=60.00
Positions (direct):
Ru: 0.250 0.250 0.250
Ru: 0.750 0.750 0.750
Er: 0.500 0.500 0.500
Pm: 0.000 0.000 0.000

No. 4
DFT (PBE) results for an optimized crystal structure of K2CN3.

As for the uncorrected formation energy: 345 meV/atom. The calculation puts the density of states at the Fermi level at 9.33 states/eV per cell. The value obtained for the calculated volume is 19.08 Å³/atom. The symmetry is P-3m1. As for the total energy: -5.72 eV/atom.

Unit cell a=6.250 b=6.250 c=6.770 alpha=90.00 beta=90.00 gamma=120.00
Positions (direct):
K: 0.000 0.000 0.500
K: 0.000 0.000 0.000
K: 0.667 0.333 0.252
K: 0.333 0.667 0.748
C: 0.333 0.667 0.250
C: 0.667 0.333 0.750
N: 0.790 0.210 0.750
N: 0.790 0.579 0.750
N: 0.579 0.790 0.250
N: 0.210 0.421 0.250
N: 0.421 0.210 0.750
N: 0.210 0.790 0.250